TlZnPb2F8: optimized geometry, PBE-GGA.

Summary:
space-group type = P2/m, No. 10
E_form (uncorrected) = -2.14 eV per atom

abc: 4.215 8.092 5.658
angles: 90.00 96.44 90.00
Sites, in units of the cell vectors:
Tl  0.000  0.000  0.000
Zn  0.000  0.500  0.000
Pb  0.500  0.265  0.500
Pb  0.500  0.735  0.500
F  0.049  0.283  0.769
F  0.049  0.717  0.769
F  0.415  0.500  0.222
F  0.490  0.000  0.765
F  0.510  0.000  0.235
F  0.585  0.500  0.778
F  0.951  0.283  0.231
F  0.951  0.717  0.231

Tl2ZnPbF6: optimized geometry, PBE-GGA.

Summary:
space-group type = P-1, No. 2
E_form (uncorrected) = -2.11 eV per atom

abc: 6.238 6.266 6.376
angles: 60.94 61.51 60.54
Sites, in units of the cell vectors:
Tl  0.246  0.247  0.268
Tl  0.754  0.753  0.732
Zn  0.500  0.500  0.500
Pb  0.000  0.000  0.000
F  0.225  0.316  0.687
F  0.249  0.777  0.682
F  0.337  0.730  0.210
F  0.663  0.270  0.790
F  0.751  0.223  0.318
F  0.775  0.684  0.313

TlZnPbF6: optimized geometry, PBE-GGA.

Summary:
space-group type = P312, No. 149
E_form (uncorrected) = -2.07 eV per atom

abc: 5.932 5.932 5.097
angles: 90.00 90.00 120.00
Sites, in units of the cell vectors:
Tl  0.000  0.000  0.000
Zn  0.667  0.333  0.500
Pb  0.333  0.667  0.500
F  0.369  0.044  0.725
F  0.369  0.325  0.275
F  0.675  0.044  0.275
F  0.675  0.631  0.725
F  0.956  0.325  0.725
F  0.956  0.631  0.275

- Among the records above, which one has the lowest E_form (uncorrected)?
  TlZnPb2F8

- Which value of E_form (uncorrected) does entry 3 give?
  -2.07 eV per atom

- Among the records above, which one has the highest E_form (uncorrected)?
  TlZnPbF6

- Which formula does entry 3 have?
  TlZnPbF6